Density functional theory data (PBE-GGA) for an optimized crystal structure of Cs6Hg2O5.

```
13
Lattice="3.858 -6.319 0.000 3.858 6.319 0.000 -0.329 0.000 7.485" Properties=species:S:1:pos:R:3 pbc="T T T"
Cs 5.107 -2.902 2.369
Cs 4.588 2.746 6.097
Cs 7.506 0.000 4.351
Cs 2.329 0.000 7.328
Cs 4.588 -2.746 6.097
Cs 5.107 2.902 2.369
O 3.350 4.316 0.475
O 3.350 -4.316 0.475
O 2.139 -1.665 4.708
O 2.139 1.665 4.708
O 4.670 0.000 2.090
Hg 6.974 0.000 0.595
Hg 3.227 0.000 3.657
```

Summary:
Raw total energy: -3.27 eV per atom